Al2Pd6Au, relaxed, DFT GGA-PBE; DOS(E_F) = 4.584 states/eV per cell; energy above the most stable polymorph in this dataset = 0 meV per atom; formation enthalpy at 0 K = -0.539 eV/atom; total moment = 0.0 Bohr magnetons per cell
1.0
0.000 5.265 6.251
2.095 0.000 6.251
2.095 5.265 0.000
Al Pd Au
2 6 1
direct
0.157 0.157 0.843 Al
0.843 0.843 0.157 Al
0.166 0.834 0.166 Pd
0.173 0.478 0.522 Pd
0.478 0.173 0.827 Pd
0.522 0.827 0.173 Pd
0.827 0.522 0.478 Pd
0.834 0.166 0.834 Pd
0.500 0.500 0.500 Au